Tc2NiAg | PBE-GGA | optimized geometry

Cell: 6.142 6.142 6.142 Å, 90.00 90.00 90.00°
Space group Fm-3m (No. 225)
Symmetry-distinct sites (fractional):
Tc (0.250, 0.250, 0.250) x8
Ni (0.000, 0.000, 0.000) x4
Ag (0.000, 0.000, 0.500) x4

Properties
Energy above the lowest structure with this stoichiometry   543 meV per atom
Energy   -26.45 eV/f.u.
ΔH_f (0 K)   0.73 eV per atom
Theoretical density   10.39 Mg/m³
Crystal system   cubic

=====

YTePb3 | PBE-GGA | optimized geometry

Cell: 5.896 5.896 5.896 Å, 90.00 90.00 90.00°
Space group Pm-3m (No. 221)
Symmetry-distinct sites (fractional):
Y (0.000, 0.000, 0.000) x1
Te (0.500, 0.500, 0.500) x1
Pb (0.000, 0.500, 0.500) x3

Properties
Energy above the lowest structure with this stoichiometry   8 meV per atom
Formation energy from raw total energies   2.4 eV/f.u.
Energy   -18.29 eV/f.u.
Theoretical density   6.79 Mg/m³
Crystal system   cubic

=====

LiPmPrAu | PBE-GGA | optimized geometry

Cell: 7.469 7.469 7.469 Å, 90.00 90.00 90.00°
Space group F-43m (No. 216)
Symmetry-distinct sites (fractional):
Li (0.000, 0.000, 0.000) x4
Pm (0.250, 0.250, 0.250) x4
Pr (0.250, 0.250, 0.750) x4
Au (0.000, 0.000, 0.500) x4

Properties
Energy above the lowest structure with this stoichiometry   29 meV per atom
Energy   -16.03 eV/f.u.
ΔH_f (0 K)   -0.33 eV per atom
Theoretical density   7.81 Mg/m³
Crystal system   cubic

=====

ZrHgBi3 | PBE-GGA | optimized geometry

Cell: 5.694 5.694 5.694 Å, 90.00 90.00 90.00°
Space group Pm-3m (No. 221)
Symmetry-distinct sites (fractional):
Zr (0.000, 0.000, 0.000) x1
Hg (0.500, 0.500, 0.500) x1
Bi (0.000, 0.000, 0.500) x3

Properties
Energy above the lowest structure with this stoichiometry   0 meV per atom
Energy   -19.39 eV/f.u.
ΔH_f (0 K)   0.22 eV per atom
Theoretical density   8.26 Mg/m³
Crystal system   cubic

=====

| no. | size of the total moment (Bohr magnetons per cell) |
| --- | --- |
| 1 | 0.0 |
| 2 | 0.0 |
| 3 | 0.5 |
| 4 | 0.0 |